An optimized crystal structure of Y2InOsF. Source: Alexandria via LeMat-Bulk, functional GGA-PBE.

It has space group P4/mmm (No. 123), with a = 5.350 Å, b = 5.350 Å, c = 5.163 Å, α = 90.00°, β = 90.00° and γ = 90.00°. The asymmetric unit holds Y at (0.000, 0.500, 0.000), In at (0.000, 0.000, 0.500), Os at (0.000, 0.000, 0.000) and F at (0.500, 0.500, 0.500).

For the raw total energy, the calculation gives -30.92 eV for the cell shown.



An optimized crystal structure of InPF2. Source: Alexandria via LeMat-Bulk, functional GGA-PBE.

It has space group R-3m (No. 166, hexagonal axes), with a = 3.0251 Å, b = 3.0251 Å, c = 24.5258 Å, α = 90.00°, β = 90.00° and γ = 120.00°. The asymmetric unit holds In at (0.0000, 0.0000, 0.0000), P at (0.0000, 0.0000, 0.5000) and F at (0.0000, 0.0000, 0.4257).

For the raw total energy, the calculation gives -49.49 eV for the cell shown. The energy above the most stable polymorph in this dataset comes out at 0 kJ/mol of formula units.



An optimized crystal structure of In3PF. Source: Alexandria via LeMat-Bulk, functional GGA-PBE.

It has space group Pm-3m (No. 221), with a = 4.973 Å, b = 4.973 Å, c = 4.973 Å, α = 90.00°, β = 90.00° and γ = 90.00°. The asymmetric unit holds In at (0.000, 0.000, 0.500), P at (0.500, 0.500, 0.500) and F at (0.000, 0.000, 0.000).

For the raw total energy, the calculation gives -16.64 eV for the cell shown. The energy above the most stable polymorph in this dataset comes out at 0 kJ/mol of formula units.



An optimized crystal structure of InP2F. Source: Alexandria via LeMat-Bulk, functional GGA-PBE.

It has space group Fm-3m (No. 225), with a = 6.374 Å, b = 6.374 Å, c = 6.374 Å, α = 90.00°, β = 90.00° and γ = 90.00°. The asymmetric unit holds In at (0.000, 0.000, 0.000), P at (0.250, 0.250, 0.250) and F at (0.000, 0.000, 0.500).

For the raw total energy, the calculation gives -61.48 eV for the cell shown. The energy above the most stable polymorph in this dataset comes out at 200 kJ/mol of formula units.



| no. | E_form (uncorrected) (eV/atom) |
| --- | --- |
| 1 | -0.430 |
| 2 | -1.152 |
| 3 | -0.230 |
| 4 | 0.015 |